A relaxed structure of Li2GaGeAu2, computed with PBE-GGA.

a = 4.478 Å, b = 4.478 Å, c = 5.740 Å
α = 90.00°, β = 90.00°, γ = 120.00°
Sites, in units of the cell vectors:
Ga1 0.333 0.667 0.000
Ge1 0.000 0.000 0.500
Li1 0.667 0.333 0.749
Li2 0.667 0.333 0.251
Au1 0.333 0.667 0.500
Au2 0.000 0.000 0.000

Calculated values
The total energy comes out at -3.44 eV/atom.

A relaxed structure of Li4GaGeAu2, computed with PBE-GGA.

a = 4.394 Å, b = 4.394 Å, c = 6.213 Å
α = 90.00°, β = 90.00°, γ = 90.00°
Sites, in units of the cell vectors:
Li1 0.500 0.500 0.500
Li2 0.500 0.000 0.249
Li3 0.000 0.500 0.751
Li4 0.000 0.000 0.000
Au1 0.500 0.000 0.749
Au2 0.000 0.500 0.251
Ga1 0.000 0.000 0.500
Ge1 0.500 0.500 0.000

Calculated values
The total energy comes out at -3.23 eV/atom.